<P>
Crystalline VPCl2O at its relaxed geometry, computed with PBE+U.

It has space group P4/mmm (No. 123), with a = 4.497 Å, b = 4.497 Å, c = 4.163 Å, α = 90.00°, β = 90.00° and γ = 90.00°. The inequivalent atoms are V at (0.000, 0.000, 0.000), P at (0.500, 0.500, 0.000), Cl at (0.000, 0.500, 0.500) and O at (0.500, 0.500, 0.500).

The size of the total moment is 2.812 μB/f.u.

<Q>
Crystalline VPCl2O at its relaxed geometry, computed with PBE+U.

It has space group P4/mmm (No. 123), with a = 4.568 Å, b = 4.568 Å, c = 4.814 Å, α = 90.00°, β = 90.00° and γ = 90.00°. The inequivalent atoms are V at (0.000, 0.000, 0.000), P at (0.000, 0.000, 0.500), Cl at (0.000, 0.500, 0.000) and O at (0.500, 0.500, 0.500).

The size of the total moment is 1.087 μB/f.u.

Q: Which of them is the least stable? A: <P>.